The following is a DFT calculation (PBE-GGA) of a relaxed LiCdSi2 crystal.

Cell and atoms, written as extended XYZ:
```
4
Lattice="3.8289 0.0000 0.0000 0.0000 4.0040 0.0000 0.0000 0.0000 4.3352" Properties=species:S:1:pos:R:3 pbc="T T T"
Cd 1.9145 0.0000 2.1676
Si 1.9145 2.0020 0.0000
Si 0.0000 0.0000 0.0000
Li 0.0000 2.0020 2.1676
```

Space group: No. 47
Energy relative to the elements, uncorrected: 15.3 kJ/mol of atoms

The following is a DFT calculation (PBE-GGA) of a relaxed LiCdSi crystal.

Cell and atoms, written as extended XYZ:
```
3
Lattice="-0.4797 -2.9411 0.4771 1.9500 1.5122 1.7375 -5.0251 1.5199 4.3170" Properties=species:S:1:pos:R:3 pbc="T T T"
Si -2.1229 1.0147 4.1205
Li -1.4303 -0.9242 2.4096
Cd -0.0017 0.0005 0.0014
```

Space group: No. 156
Energy relative to the elements, uncorrected: 12.3 kJ/mol of atoms

Number 1: total magnetic moment 0.00 μB per cell. Number 2: total magnetic moment 0.00 μB per cell.